Record 1
# BaThF6 (PBE, optimized geometry)
data_BaThF6
_chemical_formula_sum 'Ba1 Th1 F6'
_cell_length_a 4.2781
_cell_length_b 4.2781
_cell_length_c 7.8593
_cell_angle_alpha 90.00
_cell_angle_beta 90.00
_cell_angle_gamma 120.00
_symmetry_space_group_name_H-M 'P -6 m 2'
_symmetry_Int_Tables_number 187
_symmetry_space_group_name_Hall 'P -6 2'
loop_
_atom_site_label
_atom_site_type_symbol
_atom_site_fract_x
_atom_site_fract_y
_atom_site_fract_z
Ba1 Ba 0.0000 0.0000 0.0000
Th1 Th 0.6667 0.3333 0.5000
F1 F 0.0000 0.0000 0.3527
F2 F 0.3333 0.6667 0.0000
F3 F 0.3333 0.6667 0.5000
F4 F 0.6667 0.3333 0.2195
# ΔE_f (raw) in eV/atom: -3.968
# Final energy in eV per atom: -6.539


Record 2
# BaTi3F12 (PBE, optimized geometry)
data_BaTi3F12
_chemical_formula_sum 'Ba2 Ti6 F24'
_cell_length_a 10.2685
_cell_length_b 10.2685
_cell_length_c 6.6679
_cell_angle_alpha 90.00
_cell_angle_beta 90.00
_cell_angle_gamma 120.00
_symmetry_space_group_name_H-M 'P 63/m'
_symmetry_Int_Tables_number 176
_symmetry_space_group_name_Hall '-P 6c'
loop_
_atom_site_label
_atom_site_type_symbol
_atom_site_fract_x
_atom_site_fract_y
_atom_site_fract_z
Ba1 Ba 0.3333 0.6667 0.2500
Ti1 Ti 0.0836 0.3631 0.7500
F1 F 0.0011 0.8359 0.2500
F2 F 0.0242 0.5370 0.2500
F3 F 0.2103 0.4409 0.5262
# ΔE_f (raw) in eV/atom: -3.329
# Final energy in eV per atom: -6.332


Record 3
# Ba3TiF12 (PBE, optimized geometry)
data_Ba3TiF12
_chemical_formula_sum 'Ba6 Ti2 F24'
_cell_length_a 9.316
_cell_length_b 12.997
_cell_length_c 6.718
_cell_angle_alpha 90.00
_cell_angle_beta 90.32
_cell_angle_gamma 90.00
_symmetry_space_group_name_H-M 'C 1 2/m 1'
_symmetry_Int_Tables_number 12
loop_
_symmetry_equiv_pos_as_xyz
'x,y,z'
'-x,-y,-z'
'-x,y,-z'
'x,-y,z'
'x+1/2,y+1/2,z'
'-x+1/2,-y+1/2,-z'
'-x+1/2,y+1/2,-z'
'x+1/2,-y+1/2,z'
loop_
_atom_site_label
_atom_site_type_symbol
_atom_site_fract_x
_atom_site_fract_y
_atom_site_fract_z
Ba1 Ba 0.000 0.000 0.000
Ba2 Ba 0.250 0.250 0.500
Ti1 Ti 0.000 0.000 0.500
F1 F 0.001 0.324 0.650
F2 F 0.126 0.091 0.319
F3 F 0.126 0.091 0.682
# ΔE_f (raw) in eV/atom: -3.043
# Final energy in eV per atom: -5.300


Record 4
# Ba3TiF (PBE, optimized geometry)
data_Ba3TiF
_chemical_formula_sum 'Ba3 Ti1 F1'
_cell_length_a 5.659
_cell_length_b 5.659
_cell_length_c 5.659
_cell_angle_alpha 90.00
_cell_angle_beta 90.00
_cell_angle_gamma 90.00
_symmetry_space_group_name_H-M 'P m -3 m'
_symmetry_Int_Tables_number 221
_symmetry_space_group_name_Hall '-P 4 2 3'
loop_
_atom_site_label
_atom_site_type_symbol
_atom_site_fract_x
_atom_site_fract_y
_atom_site_fract_z
Ba1 Ba 0.000 0.000 0.500
Ti1 Ti 0.500 0.500 0.500
F1 F 0.000 0.000 0.000
# ΔE_f (raw) in eV/atom: -0.648
# Final energy in eV per atom: -3.755
# Excess energy over the best structure of this formula in the dataset in eV per atom: 0.0000